Entry 1:
VASP calculation (GGA-PBE) on B2C after structural relaxation.

Output
The calculation puts the total DFT energy (no corrections) at -21.58 eV/f.u. The value obtained for the relative energy among the computed polymorphs is 149.0 meV per atom.

a b c (Å): 6.202 6.202 6.202
angles (deg): 154.47 154.47 36.41
Sites, in units of the cell vectors:
B 0.060 0.310 0.750
B 0.310 0.060 0.250
B 0.690 0.940 0.750
B 0.940 0.690 0.250
C 0.375 0.625 0.750
C 0.625 0.375 0.250


Entry 2:
VASP calculation (GGA-PBE) on SrLiNiAs2 after structural relaxation.

Output
The calculation puts the total DFT energy (no corrections) at -22.40 eV/f.u.

a b c (Å): 6.003 6.003 6.003
angles (deg): 138.76 138.76 59.74
Sites, in units of the cell vectors:
Sr 0.000 0.000 0.000
Li 0.750 0.250 0.500
Ni 0.250 0.750 0.500
As 0.371 0.371 0.000
As 0.629 0.629 0.000


Entry 3:
VASP calculation (GGA-PBE) on GaSiH2 after structural relaxation.

Output
The calculation puts the total DFT energy (no corrections) at -13.18 eV/f.u. The value obtained for the relative energy among the computed polymorphs is 354.6 meV per atom.

a b c (Å): 5.200 5.200 5.200
angles (deg): 105.39 105.39 117.98
Sites, in units of the cell vectors:
Ga 0.000 0.000 0.000
Ga 0.750 0.250 0.500
Si 0.250 0.750 0.500
Si 0.500 0.500 0.000
H 0.372 0.125 0.747
H 0.375 0.628 0.753
H 0.378 0.625 0.253
H 0.875 0.622 0.247